[1]
Entry from Alexandria: a geometry-optimized TiHgRu3 structure (PBE-GGA).

Calculated values
energy above the lowest structure with this stoichiometry	5.549	eV per formula unit
total magnetic moment	3.26	μB/f.u.
ΔE_f	2.20	eV/atom
space group	Pm-3m, No. 221

Unit cell a=4.8798 b=4.8798 c=4.8798 alpha=90.00 beta=90.00 gamma=90.00
Sites, in units of the cell vectors:
Ti (0.0000, 0.0000, 0.0000)
Hg (0.5000, 0.5000, 0.5000)
Ru (0.0000, 0.5000, 0.5000)
Ru (0.5000, 0.0000, 0.5000)
Ru (0.5000, 0.5000, 0.0000)

=====

[2]
Entry from Alexandria: a geometry-optimized GdTmFePd structure (PBE-GGA).

Calculated values
total magnetic moment	6.25	μB/f.u.
ΔE_f	-0.32	eV/atom
space group	F-43m, No. 216

Unit cell a=4.8507 b=4.8507 c=4.8507 alpha=60.00 beta=60.00 gamma=60.00
Sites, in units of the cell vectors:
Gd (0.0000, 0.0000, 0.0000)
Tm (0.5000, 0.5000, 0.5000)
Fe (0.2500, 0.2500, 0.2500)
Pd (0.7500, 0.7500, 0.7500)

=====

[3]
Entry from Alexandria: a geometry-optimized Th4TlTe5 structure (PBE-GGA).

Calculated values
E_form (uncorrected)	-97.3	kJ per mole of atoms
energy above the lowest structure with this stoichiometry	0.000	eV per formula unit
total magnetic moment	0.00	μB/f.u.
space group	P4/mmm, No. 123

Unit cell a=3.8725 b=3.8725 c=19.9421 alpha=90.00 beta=90.00 gamma=90.00
Sites, in units of the cell vectors:
Th (0.0000, 0.0000, 0.0966)
Th (0.0000, 0.0000, 0.2917)
Th (0.0000, 0.0000, 0.7083)
Th (0.0000, 0.0000, 0.9034)
Tl (0.0000, 0.0000, 0.5000)
Te (0.5000, 0.5000, 0.0000)
Te (0.5000, 0.5000, 0.1926)
Te (0.5000, 0.5000, 0.3801)
Te (0.5000, 0.5000, 0.6199)
Te (0.5000, 0.5000, 0.8074)

=====

[4]
Entry from Alexandria: a geometry-optimized GdErZrSc structure (PBE-GGA).

Calculated values
total magnetic moment	6.28	μB/f.u.
ΔE_f	0.18	eV/atom
space group	F-43m, No. 216

Unit cell a=5.3508 b=5.3508 c=5.3508 alpha=60.00 beta=60.00 gamma=60.00
Sites, in units of the cell vectors:
Gd (0.0000, 0.0000, 0.0000)
Er (0.7500, 0.7500, 0.7500)
Zr (0.5000, 0.5000, 0.5000)
Sc (0.2500, 0.2500, 0.2500)

=====

[5]
Entry from Alexandria: a geometry-optimized PmTl3I7 structure (PBE-GGA).

Calculated values
E_form (uncorrected)	-78.8	kJ per mole of atoms
total magnetic moment	0.00	μB/f.u.
space group	Cm, No. 8

Unit cell a=8.4954 b=8.4954 c=9.1875 alpha=118.28 beta=118.28 gamma=84.52
Sites, in units of the cell vectors:
Pm (0.0000, 0.0000, 0.0000)
Tl (0.1418, 0.7151, 0.4280)
Tl (0.4217, 0.4217, 0.8378)
Tl (0.7151, 0.1418, 0.4280)
I (0.1275, 0.1275, 0.7983)
I (0.3139, 0.3139, 0.3737)
I (0.3143, 0.7864, 0.1629)
I (0.6037, 0.9854, 0.6736)
I (0.7864, 0.3143, 0.1629)
I (0.7884, 0.7884, 0.0751)
I (0.9854, 0.6037, 0.6736)

=====

[6]
Entry from Alexandria: a geometry-optimized Tb3Pm4Pr2 structure (PBE-GGA).

Calculated values
energy above the lowest structure with this stoichiometry	0.054	eV per formula unit
total magnetic moment	0.00	μB/f.u.
ΔE_f	0.08	eV/atom
space group	C2/c, No. 15

Unit cell a=10.1813 b=10.1813 c=6.2496 alpha=95.13 beta=95.13 gamma=71.11
Sites, in units of the cell vectors:
Tb (0.1011, 0.8989, 0.7500)
Tb (0.2339, 0.4342, 0.9127)
Tb (0.4342, 0.2339, 0.4127)
Tb (0.5658, 0.7661, 0.5873)
Tb (0.7661, 0.5658, 0.0873)
Tb (0.8989, 0.1011, 0.2500)
Pm (0.0763, 0.3544, 0.3478)
Pm (0.3132, 0.5915, 0.4851)
Pm (0.3544, 0.0763, 0.8478)
Pm (0.4085, 0.6868, 0.0149)
Pm (0.5915, 0.3132, 0.9851)
Pm (0.6456, 0.9237, 0.1522)
Pm (0.6868, 0.4085, 0.5149)
Pm (0.9237, 0.6456, 0.6522)
Pr (0.0209, 0.7396, 0.1805)
Pr (0.2604, 0.9791, 0.3195)
Pr (0.7396, 0.0209, 0.6805)
Pr (0.9791, 0.2604, 0.8195)

=====

[7]
Entry from Alexandria: a geometry-optimized KGdSb2 structure (PBE-GGA).

Calculated values
E_form (uncorrected)	-65.1	kJ per mole of atoms
energy above the lowest structure with this stoichiometry	0.000	eV per formula unit
total magnetic moment	6.92	μB/f.u.
space group	P4/mmm, No. 123

Unit cell a=4.1604 b=4.1604 c=7.5964 alpha=90.00 beta=90.00 gamma=90.00
Sites, in units of the cell vectors:
K (0.0000, 0.0000, 0.0000)
Gd (0.0000, 0.0000, 0.5000)
Sb (0.5000, 0.5000, 0.3060)
Sb (0.5000, 0.5000, 0.6940)

=====

[8]
Entry from Alexandria: a geometry-optimized RbHgBiPb structure (PBE-GGA).

Calculated values
energy above the lowest structure with this stoichiometry	0.124	eV per formula unit
total magnetic moment	0.00	μB/f.u.
ΔE_f	-0.14	eV/atom
space group	F-43m, No. 216

Unit cell a=5.8197 b=5.8197 c=5.8197 alpha=60.00 beta=60.00 gamma=60.00
Sites, in units of the cell vectors:
Rb (0.0000, 0.0000, 0.0000)
Hg (0.2500, 0.2500, 0.2500)
Bi (0.7500, 0.7500, 0.7500)
Pb (0.5000, 0.5000, 0.5000)

=====

[9]
Entry from Alexandria: a geometry-optimized K2RbTlH structure (PBE-GGA).

Calculated values
energy above the lowest structure with this stoichiometry	0.505	eV per formula unit
total magnetic moment	0.01	μB/f.u.
space group	P4/mmm, No. 123

Unit cell a=5.9161 b=5.9161 c=5.6738 alpha=90.00 beta=90.00 gamma=90.00
Sites, in units of the cell vectors:
K (0.0000, 0.5000, 0.0000)
K (0.5000, 0.0000, 0.0000)
Rb (0.0000, 0.0000, 0.5000)
Tl (0.5000, 0.5000, 0.5000)
H (0.5000, 0.5000, 0.0000)

=====

[10]
Entry from Alexandria: a geometry-optimized BeReTeN2 structure (PBE-GGA).

Calculated values
E_form (uncorrected)	59.0	kJ per mole of atoms
energy above the lowest structure with this stoichiometry	0.000	eV per formula unit
total magnetic moment	0.00	μB/f.u.
space group	P4/mmm, No. 123

Unit cell a=3.8084 b=3.8084 c=5.8656 alpha=90.00 beta=90.00 gamma=90.00
Sites, in units of the cell vectors:
Be (0.0000, 0.0000, 0.0000)
Re (0.5000, 0.5000, 0.5000)
Te (0.5000, 0.5000, 0.0000)
N (0.0000, 0.5000, 0.5000)
N (0.5000, 0.0000, 0.5000)

=====

[11]
Entry from Alexandria: a geometry-optimized YSc4As5 structure (PBE-GGA).

Calculated values
total magnetic moment	0.00	μB/f.u.
ΔE_f	-1.40	eV/atom
space group	Immm, No. 71

Unit cell a=10.3910 b=10.3910 c=10.3910 alpha=158.21 beta=148.88 gamma=38.32
Sites, in units of the cell vectors:
Y (0.0000, 0.0000, 0.0000)
Sc (0.2027, 0.2027, 0.0000)
Sc (0.3991, 0.3991, 0.0000)
Sc (0.6009, 0.6009, 0.0000)
Sc (0.7973, 0.7973, 0.0000)
As (0.1060, 0.6060, 0.5000)
As (0.3007, 0.8007, 0.5000)
As (0.5000, 0.0000, 0.5000)
As (0.6993, 0.1993, 0.5000)
As (0.8940, 0.3940, 0.5000)

=====

[12]
Entry from Alexandria: a geometry-optimized CeSc2I6 structure (PBE-GGA).

Calculated values
E_form (uncorrected)	-111.1	kJ per mole of atoms
total magnetic moment	3.67	μB/f.u.
space group	C2/m, No. 12

Unit cell a=8.7691 b=8.7691 c=11.7102 alpha=117.73 beta=117.73 gamma=27.09
Sites, in units of the cell vectors:
Ce (0.0000, 0.0000, 0.0000)
Sc (0.3470, 0.3470, 0.6913)
Sc (0.6530, 0.6530, 0.3087)
I (0.0211, 0.0211, 0.2871)
I (0.2982, 0.2982, 0.4006)
I (0.3395, 0.3395, 0.9358)
I (0.6605, 0.6605, 0.0642)
I (0.7018, 0.7018, 0.5994)
I (0.9789, 0.9789, 0.7129)

=====

[13]
Entry from Alexandria: a geometry-optimized Sc3Al2C4 structure (PBE-GGA).

Calculated values
total magnetic moment	0.00	μB/f.u.
ΔE_f	-0.30	eV/atom
space group	Pnnm, No. 58

Unit cell a=5.4981 b=12.6692 c=3.2865 alpha=90.00 beta=90.00 gamma=90.00
Sites, in units of the cell vectors:
Sc (0.0000, 0.0000, 0.0000)
Sc (0.2112, 0.2966, 0.5000)
Sc (0.2888, 0.7966, 0.0000)
Sc (0.5000, 0.5000, 0.5000)
Sc (0.7112, 0.2034, 0.0000)
Sc (0.7888, 0.7034, 0.5000)
Al (0.1262, 0.5868, 0.0000)
Al (0.3738, 0.0868, 0.5000)
Al (0.6262, 0.9132, 0.5000)
Al (0.8738, 0.4132, 0.0000)
C (0.2291, 0.6702, 0.5000)
C (0.2445, 0.4333, 0.0000)
C (0.2555, 0.9333, 0.5000)
C (0.2709, 0.1702, 0.0000)
C (0.7291, 0.8298, 0.0000)
C (0.7445, 0.0667, 0.5000)
C (0.7555, 0.5667, 0.0000)
C (0.7709, 0.3298, 0.5000)

=====

[14]
Entry from Alexandria: a geometry-optimized Th2InCu structure (PBE-GGA).

Calculated values
energy above the lowest structure with this stoichiometry	0.389	eV per formula unit
total magnetic moment	0.00	μB/f.u.
ΔE_f	-0.07	eV/atom
space group	Fm-3m, No. 225

Unit cell a=5.3096 b=5.3096 c=5.3096 alpha=60.00 beta=60.00 gamma=60.00
Sites, in units of the cell vectors:
Th (0.2500, 0.2500, 0.2500)
Th (0.7500, 0.7500, 0.7500)
In (0.0000, 0.0000, 0.0000)
Cu (0.5000, 0.5000, 0.5000)

=====

[15]
Entry from Alexandria: a geometry-optimized Hg3Se4 structure (PBE-GGA).

Calculated values
E_form (uncorrected)	4.0	kJ per mole of atoms
energy above the lowest structure with this stoichiometry	0.000	eV per formula unit
total magnetic moment	0.00	μB/f.u.
space group	P-43m, No. 215

Unit cell a=5.8134 b=5.8134 c=5.8134 alpha=90.00 beta=90.00 gamma=90.00
Sites, in units of the cell vectors:
Hg (0.0000, 0.0000, 0.5000)
Hg (0.0000, 0.5000, 0.0000)
Hg (0.5000, 0.0000, 0.0000)
Se (0.2928, 0.2928, 0.2928)
Se (0.2928, 0.7072, 0.7072)
Se (0.7072, 0.2928, 0.7072)
Se (0.7072, 0.7072, 0.2928)

=====

[16]
Entry from Alexandria: a geometry-optimized PuNpC structure (PBE-GGA).

Calculated values
energy above the lowest structure with this stoichiometry	0.000	eV per formula unit
total magnetic moment	0.00	μB/f.u.
ΔE_f	-0.13	eV/atom
space group	Cmcm, No. 63

Unit cell a=5.4639 b=5.4639 c=5.0309 alpha=90.00 beta=90.00 gamma=144.08
Sites, in units of the cell vectors:
Pu (0.0091, 0.9909, 0.7500)
Pu (0.9909, 0.0091, 0.2500)
Np (0.3418, 0.6582, 0.7500)
Np (0.6582, 0.3418, 0.2500)
C (0.3235, 0.6765, 0.2500)
C (0.6765, 0.3235, 0.7500)

=====

[17]
Entry from Alexandria: a geometry-optimized La3TcC3 structure (PBE-GGA).

Calculated values
energy above the lowest structure with this stoichiometry	2.176	eV per formula unit
total magnetic moment	0.00	μB/f.u.
ΔE_f	0.15	eV/atom
space group	R3m, No. 160

Unit cell a=6.8175 b=6.8175 c=6.8175 alpha=116.63 beta=116.63 gamma=116.63
Sites, in units of the cell vectors:
La (0.1802, 0.1802, 0.6396)
La (0.1802, 0.6396, 0.1802)
La (0.6396, 0.1802, 0.1802)
Tc (0.6201, 0.6201, 0.6201)
C (0.3367, 0.6144, 0.6144)
C (0.6144, 0.3367, 0.6144)
C (0.6144, 0.6144, 0.3367)

=====

[18]
Entry from Alexandria: a geometry-optimized DyScTeAs structure (PBE-GGA).

Calculated values
E_form (uncorrected)	-130.4	kJ per mole of atoms
total magnetic moment	0.00	μB/f.u.
space group	R3m, No. 160

Unit cell a=7.5001 b=7.5001 c=7.5001 alpha=31.26 beta=31.26 gamma=31.26
Sites, in units of the cell vectors:
Dy (0.0000, 0.0000, 0.0000)
Sc (0.1902, 0.1902, 0.1902)
Te (0.4316, 0.4316, 0.4316)
As (0.5924, 0.5924, 0.5924)

=====

[19]
Entry from Alexandria: a geometry-optimized ThTaH structure (PBE-GGA).

Calculated values
total magnetic moment	0.00	μB/f.u.
space group	P4/nmm, No. 129
calculated total energy	-7.54	eV/atom

Unit cell a=3.3960 b=3.3960 c=9.3343 alpha=90.00 beta=90.00 gamma=90.00
Sites, in units of the cell vectors:
Th (0.2500, 0.2500, 0.1779)
Th (0.7500, 0.7500, 0.8221)
Ta (0.2500, 0.2500, 0.5727)
Ta (0.7500, 0.7500, 0.4273)
H (0.2500, 0.2500, 0.9173)
H (0.7500, 0.7500, 0.0827)

=====

[20]
Entry from Alexandria: a geometry-optimized ErTm2Pa structure (PBE-GGA).

Calculated values
energy above the lowest structure with this stoichiometry	0.089	eV per formula unit
total magnetic moment	0.18	μB/f.u.
ΔE_f	0.12	eV/atom
space group	P4/mmm, No. 123

Unit cell a=3.3861 b=3.3861 c=10.0229 alpha=90.00 beta=90.00 gamma=90.00
Sites, in units of the cell vectors:
Er (0.0000, 0.0000, 0.0000)
Tm (0.5000, 0.5000, 0.2639)
Tm (0.5000, 0.5000, 0.7361)
Pa (0.0000, 0.0000, 0.5000)